A geometry-optimized LiZrIr2 structure. Source: the Alexandria database, functional GGA-PBE.

a = 4.9925 Å, b = 4.9925 Å, c = 4.9925 Å
α = 134.37°, β = 134.37°, γ = 66.51°
Closest atoms and distances in Å follow each position.
Fractional coordinates of all 4 atoms:
Li (0.0000, 0.0000, 0.0000)  8 Ir 2.74-2.85, 4 Zr 2.85
Zr (0.7500, 0.2500, 0.5000)  8 Ir 2.74-2.85, 4 Li 2.85
Ir (0.2500, 0.7500, 0.5000)  4 Zr 2.74, 4 Li 2.85, 4 Ir 2.85
Ir (0.5000, 0.5000, 0.0000)  4 Li 2.74, 4 Zr 2.85, 4 Ir 2.85

Computed properties:
Space-group type   I-4m2 (119)
ΔE to the lowest computed polymorph   0.68 eV per formula unit
Size of the total moment   0.0 μB per formula unit
Energy relative to the elements   -0.40 eV/atom